# 1
DFT (PBE) results for HoTmRuAu after structural relaxation.

Lattice parameters (Å, degrees): 4.9047 4.9047 4.9047 60.00 60.00 60.00
Last column: nearest neighbours and their distance in Å.
Atoms (fractional coordinates):
1 Ho 0.0000 0.0000 0.0000  4 Ru 3.00, 4 Au 3.00
2 Tm 0.5000 0.5000 0.5000  4 Ru 3.00, 4 Au 3.00
3 Ru 0.7500 0.7500 0.7500  4 Ho 3.00, 4 Tm 3.00
4 Au 0.2500 0.2500 0.2500  4 Ho 3.00, 4 Tm 3.00

* energy above the lowest structure with this stoichiometry: 74 meV per atom
* energy of formation from the pure elements: -0.62 eV per atom
* Fermi-level density of states: 0.5068 states/eV per atom

=====

# 2
DFT (PBE) results for La12DyHo3 after structural relaxation.

Lattice parameters (Å, degrees): 5.2037 5.2037 20.7970 90.00 90.00 90.00
Last column: nearest neighbours and their distance in Å.
Atoms (fractional coordinates):
1 La 0.0000 0.0000 0.0000  8 La 3.68, 4 Dy 3.68
2 La 0.0000 0.0000 0.2499  8 La 3.68, 4 Ho 3.68
3 La 0.0000 0.0000 0.5000  8 La 3.68, 4 Ho 3.68
4 La 0.0000 0.0000 0.7501  8 La 3.68, 4 Ho 3.68
5 La 0.0000 0.5000 0.1250  8 La 3.68, 2 Ho 3.68, 2 Dy 3.68
6 La 0.0000 0.5000 0.3750  4 Ho 3.68, 8 La 3.68
7 La 0.0000 0.5000 0.6250  4 Ho 3.68, 8 La 3.68
8 La 0.0000 0.5000 0.8750  8 La 3.68, 2 Ho 3.68, 2 Dy 3.68
9 La 0.5000 0.0000 0.1250  8 La 3.68, 2 Ho 3.68, 2 Dy 3.68
10 La 0.5000 0.0000 0.3750  4 Ho 3.68, 8 La 3.68
11 La 0.5000 0.0000 0.6250  4 Ho 3.68, 8 La 3.68
12 La 0.5000 0.0000 0.8750  8 La 3.68, 2 Ho 3.68, 2 Dy 3.68
13 Dy 0.5000 0.5000 0.0000  12 La 3.68
14 Ho 0.5000 0.5000 0.2500  12 La 3.68
15 Ho 0.5000 0.5000 0.5000  12 La 3.68
16 Ho 0.5000 0.5000 0.7500  12 La 3.68

* energy of formation from the pure elements: 0.01 eV per atom
* Fermi-level density of states: 1.3345 states/eV per atom

=====

# 3
DFT (PBE) results for DyHo2PuO8 after structural relaxation.

Lattice parameters (Å, degrees): 5.0759 5.0759 6.9481 90.00 90.00 90.88
Last column: nearest neighbours and their distance in Å.
Atoms (fractional coordinates):
1 Dy 0.0000 0.0000 0.0000  6 O 2.20-2.35
2 Ho 0.5000 0.5000 0.2400  6 O 2.15-2.39
3 Ho 0.5000 0.5000 0.7600  6 O 2.15-2.39
4 Pu 0.0000 0.0000 0.5000  6 O 2.00-2.04
5 O 0.1845 0.8155 0.2779  1 Pu 2.04
6 O 0.1845 0.8155 0.7221  1 Pu 2.04
7 O 0.2803 0.2803 0.5000  1 Pu 2.00
8 O 0.3087 0.3087 0.0000  2 Ho 2.15, 1 Dy 2.20
9 O 0.6913 0.6913 0.0000  2 Ho 2.15, 1 Dy 2.20
10 O 0.7197 0.7197 0.5000  1 Pu 2.00
11 O 0.8155 0.1845 0.2779  1 Pu 2.04
12 O 0.8155 0.1845 0.7221  1 Pu 2.04

* ΔE_f (raw): -3102 meV/atom